1.
Crystalline Pr6Sm5Dy at its relaxed geometry, computed with GGA-PBE.

Properties
ρ: 7.0 g/cm3
Fermi-level density of states: 16.53 states/eV per cell
DFT formation energy: 12 meV per atom

a = 6.363 Å, b = 6.363 Å, c = 12.087 Å
α = 95.04°, β = 95.04°, γ = 120.02°
Fractional coordinates of all 12 atoms:
Pr 0.084 0.417 0.751
Pr 0.250 0.250 0.249
Pr 0.417 0.084 0.751
Pr 0.583 0.916 0.249
Pr 0.750 0.750 0.751
Pr 0.916 0.583 0.249
Sm 0.000 0.000 0.500
Sm 0.167 0.833 0.000
Sm 0.333 0.667 0.500
Sm 0.667 0.333 0.500
Sm 0.833 0.167 0.000
Dy 0.500 0.500 0.000

=====

2.
Crystalline Ni12Ge7Pd2 at its relaxed geometry, computed with GGA-PBE.

Properties
ρ: 9.0 g/cm3
Fermi-level density of states: 10.97 states/eV per cell
DFT formation energy: -317 meV per atom

a = 10.241 Å, b = 10.241 Å, c = 2.911 Å
α = 90.00°, β = 90.00°, γ = 120.00°
Fractional coordinates of all 21 atoms:
Ni 0.048 0.258 0.000
Ni 0.119 0.709 0.500
Ni 0.209 0.952 0.000
Ni 0.291 0.410 0.500
Ni 0.410 0.163 0.500
Ni 0.512 0.413 0.000
Ni 0.587 0.100 0.000
Ni 0.590 0.881 0.500
Ni 0.742 0.791 0.000
Ni 0.754 0.590 0.500
Ni 0.837 0.246 0.500
Ni 0.900 0.488 0.000
Ge 0.088 0.465 0.500
Ge 0.245 0.202 0.000
Ge 0.376 0.912 0.500
Ge 0.535 0.624 0.500
Ge 0.667 0.333 0.500
Ge 0.798 0.043 0.000
Ge 0.957 0.755 0.000
Pd 0.000 0.000 0.500
Pd 0.333 0.667 0.000

=====

3.
Crystalline KNbTe2N at its relaxed geometry, computed with GGA-PBE.

Properties
ρ: 4.2 g/cm3
Fermi-level density of states: 6.94 states/eV per cell
uncorrected formation energy: 1868 meV per atom
energy relative to the lowest polymorph listed for this composition: 1030 kJ/mol of formula units

a = 5.938 Å, b = 5.938 Å, c = 4.544 Å
α = 90.00°, β = 90.00°, γ = 90.00°
Fractional coordinates of all 5 atoms:
K 0.000 0.000 0.000
Nb 0.500 0.500 0.500
Te 0.000 0.500 0.000
Te 0.500 0.000 0.000
N 0.000 0.000 0.500

=====

4.
Crystalline CaHo4ErS8 at its relaxed geometry, computed with GGA-PBE.

Properties
ρ: 5.1 g/cm3
Fermi-level density of states: 3.20 states/eV per cell
uncorrected formation energy: -2001 meV per atom

a = 8.044 Å, b = 8.044 Å, c = 8.044 Å
α = 60.05°, β = 60.05°, γ = 60.05°
Fractional coordinates of all 14 atoms:
Ca 0.000 0.000 0.000
Ho 0.119 0.627 0.627
Ho 0.250 0.250 0.250
Ho 0.627 0.119 0.627
Ho 0.627 0.627 0.119
Er 0.627 0.627 0.627
S 0.383 0.383 0.383
S 0.384 0.384 0.851
S 0.384 0.851 0.384
S 0.407 0.864 0.864
S 0.851 0.384 0.384
S 0.864 0.407 0.864
S 0.864 0.864 0.407
S 0.864 0.864 0.864

=====

5.
Crystalline TaAs2Ru at its relaxed geometry, computed with GGA-PBE.

Properties
ρ: 8.0 g/cm3
Fermi-level density of states: 6.65 states/eV per cell
energy relative to the lowest polymorph listed for this composition: 206 kJ/mol of formula units
DFT formation energy: 323 meV per atom

a = 7.052 Å, b = 7.052 Å, c = 7.052 Å
α = 133.68°, β = 133.68°, γ = 67.59°
Fractional coordinates of all 8 atoms:
Ta 0.000 0.000 0.000
Ta 0.750 0.250 0.500
As 0.147 0.625 0.022
As 0.375 0.397 0.522
As 0.603 0.125 0.978
As 0.875 0.853 0.478
Ru 0.250 0.750 0.500
Ru 0.500 0.500 0.000

=====

6.
Crystalline Ba2Ir3O9 at its relaxed geometry, computed with GGA-PBE.

Properties
ρ: 7.5 g/cm3
Fermi-level density of states: 16.04 states/eV per cell
uncorrected formation energy: -1413 meV per atom

a = 8.293 Å, b = 8.293 Å, c = 8.293 Å
α = 109.47°, β = 109.47°, γ = 109.47°
Fractional coordinates of all 28 atoms:
Ba 0.000 0.000 0.383
Ba 0.000 0.383 0.000
Ba 0.383 0.000 0.000
Ba 0.617 0.617 0.617
Ir 0.156 0.656 0.500
Ir 0.344 0.500 0.844
Ir 0.500 0.156 0.656
Ir 0.500 0.844 0.344
Ir 0.656 0.500 0.156
Ir 0.844 0.344 0.500
O 0.000 0.359 0.359
O 0.000 0.641 0.641
O 0.050 0.329 0.691
O 0.280 0.950 0.641
O 0.309 0.638 0.359
O 0.329 0.691 0.050
O 0.359 0.000 0.359
O 0.359 0.309 0.638
O 0.359 0.359 0.000
O 0.362 0.671 0.720
O 0.638 0.359 0.309
O 0.641 0.000 0.641
O 0.641 0.280 0.950
O 0.641 0.641 0.000
O 0.671 0.720 0.362
O 0.691 0.050 0.329
O 0.720 0.362 0.671
O 0.950 0.641 0.280